Record 1
## CaSiPb2 (PBE)

Data for CaSiPb2 after structural relaxation.

Values from the calculation:
Electronic total energy: -3.79 eV per atom
ΔE_f (raw): -78 meV/atom
Crystal system: tetragonal

Cell lengths 4.7409, 4.7409, 4.6877 Å; angles 90.00, 90.00, 89.98 degrees
With the nearest neighbours (Å) after each atom.
Positions (direct):
Ca: 0.0000 0.5000 0.5000  8 Pb 3.33, 4 Si 3.35
Pb: 0.0000 0.0000 0.0000  4 Ca 3.33, 4 Si 3.33, 4 Pb 3.35
Pb: 0.5000 0.5000 0.0000  4 Si 3.33, 4 Ca 3.33, 4 Pb 3.35
Si: 0.5000 0.0000 0.5000  8 Pb 3.33, 4 Ca 3.35


Record 2
## Ca2SiPb (PBE)

Data for Ca2SiPb after structural relaxation.

Values from the calculation:
Electronic total energy: -3.33 eV per atom
ΔE_f (raw): -50 meV/atom
Energy above the most stable polymorph in this dataset: 341 meV/atom
Crystal system: tetragonal

Cell lengths 8.3916, 8.3916, 6.8007 Å; angles 51.90, 51.90, 90.00 degrees
With the nearest neighbours (Å) after each atom.
Positions (direct):
Pb: 0.0000 0.0000 0.0000  4 Ca 3.27, 2 Si 3.32
Pb: 0.7500 0.2500 0.5000  4 Ca 3.27, 2 Si 3.32
Ca: 0.5934 0.1250 0.2500  2 Si 2.91
Ca: 0.1566 0.6250 0.2500  2 Si 2.91
Ca: 0.3750 0.4066 0.7500  2 Si 2.91
Ca: 0.8750 0.8434 0.7500  2 Si 2.91
Si: 0.5000 0.5000 0.0000  4 Ca 2.91
Si: 0.2500 0.7500 0.5000  4 Ca 2.91


Record 3
## Ca2SiPb (PBE)

Data for Ca2SiPb after structural relaxation.

Values from the calculation:
Electronic total energy: -3.67 eV per atom
ΔE_f (raw): -391 meV/atom
Energy above the most stable polymorph in this dataset: 0 meV/atom
Crystal system: tetragonal

Cell lengths 3.4610, 3.4610, 8.8540 Å; angles 90.00, 90.00, 90.05 degrees
With the nearest neighbours (Å) after each atom.
Positions (direct):
Ca: 0.0000 0.0000 0.9646  4 Si 3.10, 4 Ca 3.46
Ca: 0.0000 0.0000 0.5354  4 Si 3.10, 4 Ca 3.46
Pb: 0.5000 0.5000 0.2500  4 Pb 3.46, 8 Ca 3.52
Si: 0.5000 0.5000 0.7500  8 Ca 3.10, 4 Si 3.46


Number 1: spin magnetization 0.0 μB/cell. Number 2: spin magnetization 0.0 μB/cell. Number 3: spin magnetization 0.0 μB/cell.